Crystalline NdHo7Er3 at its relaxed geometry. Source: the Alexandria database, functional PBE.

Geometry as CIF:
```
data_NdHo7Er3
_space_group_name_H-M_alt 'P 3 m 1'
_space_group_IT_number 156
_cell_length_a 7.0192
_cell_length_b 7.0192
_cell_length_c 8.5494
_cell_angle_alpha 90.00
_cell_angle_beta 90.00
_cell_angle_gamma 120.00
loop_
_space_group_symop_operation_xyz
'x,y,z'
'-y,x-y,z'
'-x+y,-x,z'
'-y,-x,z'
'-x+y,y,z'
'x,x-y,z'
loop_
_atom_site_label
_atom_site_type_symbol
_atom_site_fract_x
_atom_site_fract_y
_atom_site_fract_z
Nd1 Nd 0.0000 0.0000 0.0000
Ho1 Ho 0.0026 0.5013 0.9972
Ho2 Ho 0.3310 0.1655 0.3305
Ho3 Ho 0.3333 0.6667 0.3275
Er1 Er 0.1673 0.3346 0.6617
```

Summary:
electronic total energy: -48.32 eV for the cell shown
density of states at the Fermi level: 17.49 states/eV per cell
energy relative to the elements: 0.198 eV per atom
ρ: 8.20 g cm⁻³